BaLiPm2Se4 | PBE | relaxed

Output
* ΔE_f (raw): -1821 meV/atom
* volume: 27.79 Å³/atom
* total moment: 0.000 μB/atom
* VASP energy: -83.7 eV for the cell shown
* ρ: 5.60 g/cm³

abc: 7.4153 7.4153 14.6134
angles: 90.00 90.00 146.40
Positions (direct):
Ba1 0.1157 0.8843 0.7500
Ba2 0.8843 0.1157 0.2500
Li1 0.1548 0.8452 0.2500
Li2 0.8452 0.1548 0.7500
Pm1 0.3718 0.6282 0.5559
Pm2 0.3718 0.6282 0.9441
Pm3 0.6282 0.3718 0.0559
Pm4 0.6282 0.3718 0.4441
Se1 0.0000 0.0000 0.0000
Se2 0.0000 0.0000 0.5000
Se3 0.2672 0.7328 0.1168
Se4 0.2672 0.7328 0.3832
Se5 0.4388 0.5612 0.7500
Se6 0.5612 0.4388 0.2500
Se7 0.7328 0.2672 0.6168
Se8 0.7328 0.2672 0.8832